## PrAlNO (PBE)

Data for a relaxed PrAlNO crystal.

Computed properties:
energy above the lowest structure with this stoichiometry	2	meV/atom
electronic total energy	-7.336	eV/atom
crystal system	orthorhombic

Structure (CIF):
```
data_PrAlNO
_chemical_formula_sum 'Pr4 Al4 N4 O4'
_cell_length_a 5.5435
_cell_length_b 7.8779
_cell_length_c 5.1869
_cell_angle_alpha 90.00
_cell_angle_beta 90.00
_cell_angle_gamma 90.00
_symmetry_space_group_name_H-M 'P c a 21'
_symmetry_Int_Tables_number 29
_symmetry_space_group_name_Hall 'P 2c -2ac'
loop_
_atom_site_label
_atom_site_type_symbol
_atom_site_fract_x
_atom_site_fract_y
_atom_site_fract_z
Pr1 Pr 0.0268 0.1434 0.0000
Al1 Al 0.0797 0.5879 0.9602
N1 N 0.1150 0.5752 0.6044
O1 O 0.0296 0.1884 0.5044
```

=====

## Th5PaC4 (PBE)

Data for a relaxed Th5PaC4 crystal.

Computed properties:
electronic total energy	-8.641	eV/atom
crystal system	monoclinic

Structure (CIF):
```
data_Th5PaC4
_chemical_formula_sum 'Th10 Pa2 C8'
_cell_length_a 16.1069
_cell_length_b 3.6621
_cell_length_c 7.4647
_cell_angle_alpha 90.00
_cell_angle_beta 102.27
_cell_angle_gamma 90.00
_symmetry_space_group_name_H-M 'C 1 2/m 1'
_symmetry_Int_Tables_number 12
_symmetry_space_group_name_Hall '-C 2y'
loop_
_atom_site_label
_atom_site_type_symbol
_atom_site_fract_x
_atom_site_fract_y
_atom_site_fract_z
Th1 Th 0.0000 0.0000 0.0000
Th2 Th 0.1594 0.5000 0.8124
Th3 Th 0.1645 0.5000 0.3386
Pa1 Pa 0.0000 0.0000 0.5000
C1 C 0.0022 0.5000 0.7335
C2 C 0.1616 0.0000 0.5765
```

=====

## Li2Nb2Ga2IrPt (PBE)

Data for a relaxed Li2Nb2Ga2IrPt crystal.

Computed properties:
electronic total energy	-6.109	eV/atom
crystal system	tetragonal

Structure (CIF):
```
data_Li2Nb2Ga2IrPt
_chemical_formula_sum 'Li2 Nb2 Ga2 Ir1 Pt1'
_cell_length_a 4.3785
_cell_length_b 4.3785
_cell_length_c 6.1867
_cell_angle_alpha 90.00
_cell_angle_beta 90.00
_cell_angle_gamma 90.00
_symmetry_space_group_name_H-M 'P -4 m 2'
_symmetry_Int_Tables_number 115
_symmetry_space_group_name_Hall 'P -4 -2'
loop_
_atom_site_label
_atom_site_type_symbol
_atom_site_fract_x
_atom_site_fract_y
_atom_site_fract_z
Li1 Li 0.0000 0.0000 0.0000
Li2 Li 0.5000 0.5000 0.5000
Nb1 Nb 0.0000 0.5000 0.2450
Ga1 Ga 0.0000 0.5000 0.7510
Ir1 Ir 0.5000 0.5000 0.0000
Pt1 Pt 0.0000 0.0000 0.5000
```

=====

## GdY2Tm (PBE)

Data for a relaxed GdY2Tm crystal.

Computed properties:
electronic total energy	-5.509	eV/atom
crystal system	orthorhombic
DFT formation energy	0.005	eV/atom

Structure (CIF):
```
data_GdY2Tm
_chemical_formula_sum 'Gd4 Y8 Tm4'
_cell_length_a 7.2483
_cell_length_b 12.5631
_cell_length_c 5.6388
_cell_angle_alpha 90.00
_cell_angle_beta 90.00
_cell_angle_gamma 90.00
_symmetry_space_group_name_H-M 'C m c m'
_symmetry_Int_Tables_number 63
_symmetry_space_group_name_Hall '-C 2c 2'
loop_
_atom_site_label
_atom_site_type_symbol
_atom_site_fract_x
_atom_site_fract_y
_atom_site_fract_z
Gd1 Gd 0.0000 0.1673 0.2500
Y1 Y 0.2489 0.4165 0.2500
Tm1 Tm 0.0000 0.3335 0.7500
```

=====

## Dy2GeSe4 (PBE)

Data for a relaxed Dy2GeSe4 crystal.

Computed properties:
electronic total energy	-5.072	eV/atom
crystal system	tetragonal

Structure (CIF):
```
data_Dy2GeSe4
_chemical_formula_sum 'Dy4 Ge2 Se8'
_cell_length_a 6.2265
_cell_length_b 6.2265
_cell_length_c 12.6661
_cell_angle_alpha 90.00
_cell_angle_beta 90.00
_cell_angle_gamma 90.00
_symmetry_space_group_name_H-M 'I -4'
_symmetry_Int_Tables_number 82
_symmetry_space_group_name_Hall 'I -4'
loop_
_atom_site_label
_atom_site_type_symbol
_atom_site_fract_x
_atom_site_fract_y
_atom_site_fract_z
Dy1 Dy 0.0000 0.0000 0.0000
Dy2 Dy 0.0000 0.5000 0.2500
Ge1 Ge 0.0000 0.5000 0.7500
Se1 Se 0.2413 0.7558 0.6223
```

=====

## LuNbCuSi (PBE)

Data for a relaxed LuNbCuSi crystal.

Computed properties:
energy above the lowest structure with this stoichiometry	0	meV/atom
electronic total energy	-5.742	eV/atom
crystal system	cubic

Structure (CIF):
```
data_LuNbCuSi
_chemical_formula_sum 'Lu4 Nb4 Cu4 Si4'
_cell_length_a 6.4628
_cell_length_b 6.4628
_cell_length_c 6.4628
_cell_angle_alpha 90.00
_cell_angle_beta 90.00
_cell_angle_gamma 90.00
_symmetry_space_group_name_H-M 'F -4 3 m'
_symmetry_Int_Tables_number 216
_symmetry_space_group_name_Hall 'F -4 2 3'
loop_
_atom_site_label
_atom_site_type_symbol
_atom_site_fract_x
_atom_site_fract_y
_atom_site_fract_z
Lu1 Lu 0.0000 0.0000 0.0000
Nb1 Nb 0.2500 0.2500 0.2500
Cu1 Cu 0.2500 0.2500 0.7500
Si1 Si 0.0000 0.0000 0.5000
```

=====

## PmPdPb (PBE)

Data for a relaxed PmPdPb crystal.

Computed properties:
energy above the lowest structure with this stoichiometry	0	meV/atom
electronic total energy	-5.211	eV/atom
crystal system	cubic

Structure (CIF):
```
data_PmPdPb
_chemical_formula_sum 'Pm4 Pd4 Pb4'
_cell_length_a 6.8383
_cell_length_b 6.8383
_cell_length_c 6.8383
_cell_angle_alpha 90.00
_cell_angle_beta 90.00
_cell_angle_gamma 90.00
_symmetry_space_group_name_H-M 'F -4 3 m'
_symmetry_Int_Tables_number 216
_symmetry_space_group_name_Hall 'F -4 2 3'
loop_
_atom_site_label
_atom_site_type_symbol
_atom_site_fract_x
_atom_site_fract_y
_atom_site_fract_z
Pm1 Pm 0.0000 0.0000 0.0000
Pd1 Pd 0.2500 0.2500 0.7500
Pb1 Pb 0.0000 0.0000 0.5000
```

=====

## CdH8C4N2Cl2 (PBE)

Data for a relaxed CdH8C4N2Cl2 crystal.

Computed properties:
electronic total energy	-5.175	eV/atom
crystal system	monoclinic

Structure (CIF):
```
data_CdH8C4N2Cl2
_chemical_formula_sum 'Cd4 H32 C16 N8 Cl8'
_cell_length_a 8.7597
_cell_length_b 12.5499
_cell_length_c 7.0503
_cell_angle_alpha 90.00
_cell_angle_beta 91.09
_cell_angle_gamma 90.00
_symmetry_space_group_name_H-M 'C 1 2/c 1'
_symmetry_Int_Tables_number 15
_symmetry_space_group_name_Hall '-C 2yc'
loop_
_atom_site_label
_atom_site_type_symbol
_atom_site_fract_x
_atom_site_fract_y
_atom_site_fract_z
Cd1 Cd 0.0000 0.0685 0.2500
H1 H 0.0104 0.3110 0.0526
H2 H 0.1237 0.2289 0.7217
H3 H 0.1502 0.3751 0.7273
H4 H 0.1676 0.3791 0.3829
C1 C 0.1136 0.3049 0.4302
C2 C 0.1852 0.2985 0.6676
N1 N 0.1613 0.2113 0.3534
Cl1 Cl 0.1782 0.0642 0.9419
```

=====

## Pd15Pb (PBE)

Data for a relaxed Pd15Pb crystal.

Computed properties:
energy above the lowest structure with this stoichiometry	74	meV/atom
electronic total energy	-5.030	eV/atom
crystal system	monoclinic

Structure (CIF):
```
data_Pd15Pb
_chemical_formula_sum 'Pd30 Pb2'
_cell_length_a 7.7355
_cell_length_b 2.8134
_cell_length_c 34.8983
_cell_angle_alpha 90.00
_cell_angle_beta 90.01
_cell_angle_gamma 90.00
_symmetry_space_group_name_H-M 'P 1 21/m 1'
_symmetry_Int_Tables_number 11
_symmetry_space_group_name_Hall '-P 2yb'
loop_
_atom_site_label
_atom_site_type_symbol
_atom_site_fract_x
_atom_site_fract_y
_atom_site_fract_z
Pd1 Pd 0.1220 0.2500 0.2379
Pd2 Pd 0.1223 0.2500 0.3198
Pd3 Pd 0.1247 0.2500 0.4001
Pd4 Pd 0.1254 0.2500 0.4799
Pd5 Pd 0.1253 0.2500 0.5596
Pd6 Pd 0.1250 0.2500 0.6397
Pd7 Pd 0.1248 0.2500 0.7209
Pd8 Pd 0.3722 0.7500 0.6803
Pd9 Pd 0.3719 0.7500 0.7620
Pd10 Pd 0.3751 0.7500 0.2015
Pd11 Pd 0.3749 0.7500 0.2802
Pd12 Pd 0.3750 0.7500 0.3595
Pd13 Pd 0.3754 0.7500 0.4397
Pd14 Pd 0.3754 0.7500 0.5199
Pd15 Pd 0.3746 0.7500 0.6000
Pb1 Pb 0.1251 0.2500 0.8081
```

=====

## KSmBeSe3 (PBE)

Data for a relaxed KSmBeSe3 crystal.

Computed properties:
electronic total energy	-4.722	eV/atom
crystal system	orthorhombic

Structure (CIF):
```
data_KSmBeSe3
_chemical_formula_sum 'K4 Sm4 Be4 Se12'
_cell_length_a 4.0804
_cell_length_b 14.8230
_cell_length_c 11.1292
_cell_angle_alpha 90.00
_cell_angle_beta 90.00
_cell_angle_gamma 90.00
_symmetry_space_group_name_H-M 'C m c m'
_symmetry_Int_Tables_number 63
_symmetry_space_group_name_Hall '-C 2c 2'
loop_
_atom_site_label
_atom_site_type_symbol
_atom_site_fract_x
_atom_site_fract_y
_atom_site_fract_z
K1 K 0.0000 0.2453 0.2500
Sm1 Sm 0.0000 0.5000 0.0000
Be1 Be 0.0000 0.0378 0.7500
Se1 Se 0.0000 0.1234 0.5845
Se2 Se 0.0000 0.4420 0.7500
```

=====

## ScBeReW (PBE)

Data for a relaxed ScBeReW crystal.

Computed properties:
energy above the lowest structure with this stoichiometry	0	meV/atom
electronic total energy	-8.872	eV/atom
crystal system	cubic

Structure (CIF):
```
data_ScBeReW
_chemical_formula_sum 'Sc4 Be4 Re4 W4'
_cell_length_a 6.2324
_cell_length_b 6.2324
_cell_length_c 6.2324
_cell_angle_alpha 90.00
_cell_angle_beta 90.00
_cell_angle_gamma 90.00
_symmetry_space_group_name_H-M 'F -4 3 m'
_symmetry_Int_Tables_number 216
_symmetry_space_group_name_Hall 'F -4 2 3'
loop_
_atom_site_label
_atom_site_type_symbol
_atom_site_fract_x
_atom_site_fract_y
_atom_site_fract_z
Sc1 Sc 0.0000 0.0000 0.0000
Be1 Be 0.2500 0.2500 0.7500
Re1 Re 0.2500 0.2500 0.2500
W1 W 0.0000 0.0000 0.5000
```

=====

## SbMo4PC2 (PBE)

Data for a relaxed SbMo4PC2 crystal.

Computed properties:
electronic total energy	-8.981	eV/atom
crystal system	hexagonal

Structure (CIF):
```
data_SbMo4PC2
_chemical_formula_sum 'Sb1 Mo4 P1 C2'
_cell_length_a 3.2512
_cell_length_b 3.2512
_cell_length_c 12.2220
_cell_angle_alpha 90.00
_cell_angle_beta 90.00
_cell_angle_gamma 120.00
_symmetry_space_group_name_H-M 'P -6 m 2'
_symmetry_Int_Tables_number 187
_symmetry_space_group_name_Hall 'P -6 2'
loop_
_atom_site_label
_atom_site_type_symbol
_atom_site_fract_x
_atom_site_fract_y
_atom_site_fract_z
Sb1 Sb 0.0000 0.0000 0.0000
Mo1 Mo 0.0000 0.0000 0.3646
Mo2 Mo 0.6667 0.3333 0.1885
P1 P 0.6667 0.3333 0.5000
C1 C 0.3333 0.6667 0.2637
```